#w
A relaxed AcPaSi2 crystal, computed with PBE.

Cell lengths 5.164, 5.164, 5.164 Å; angles 60.00, 60.00, 60.00 degrees
Positions (direct):
Ac1 0.000 0.000 0.000
Pa1 0.500 0.500 0.500
Si1 0.250 0.250 0.250
Si2 0.750 0.750 0.750

Fermi-level density of states   7.7 states/eV/cell
Space-group type   Fm-3m

#x
A relaxed AcPaSi2 crystal, computed with PBE.

Cell lengths 7.462, 7.462, 7.462 Å; angles 33.66, 33.66, 33.66 degrees
Positions (direct):
Ac1 0.000 0.000 0.000
Pa1 0.500 0.500 0.500
Si1 0.236 0.236 0.236
Si2 0.764 0.764 0.764

Fermi-level density of states   3.1 states/eV/cell
Space-group type   R-3m

Relative to the most stable one, in kJ/mol of atoms, the structures come out at #w 24.3; #x 0.0.